DFT (GGA-PBE) results for a geometry-optimized Ge4Br2F5 structure.

a = 6.9941 Å, b = 6.9941 Å, c = 8.7406 Å
α = 123.46°, β = 123.46°, γ = 44.69°
With the nearest neighbours (Å) after each atom.
Positions (direct):
Ge  0.1001  0.1001  0.4734  2 F 2.06
Ge  0.3775  0.3775  0.0672  3 F 1.93-1.99
Ge  0.6225  0.6225  0.9328  3 F 1.93-1.99
Ge  0.8999  0.8999  0.5266  2 F 2.06
Br  0.2706  0.2706  0.3030  4 Ge 3.09-3.32, 2 F 3.39
Br  0.7294  0.7294  0.6970  4 Ge 3.09-3.32, 2 F 3.39
F  0.2316  0.7430  0.2498  2 Ge 1.93-2.06
F  0.2570  0.7684  0.7502  2 Ge 1.93-2.06
F  0.5000  0.5000  0.0000  2 Ge 1.99
F  0.7430  0.2316  0.2498  2 Ge 1.93-2.06
F  0.7684  0.2570  0.7502  2 Ge 1.93-2.06

Summary:
Formation energy (no corrections)   -1.4426 eV/atom

***

DFT (GGA-PBE) results for a geometry-optimized Pm4Er7Sc structure.

a = 6.4436 Å, b = 6.7485 Å, c = 9.0551 Å
α = 85.24°, β = 76.86°, γ = 81.85°
With the nearest neighbours (Å) after each atom.
Positions (direct):
Pm  0.1545  0.3196  0.2800  1 Sc 3.25, 8 Er 3.34-3.61, 2 Pm 3.45-3.53
Pm  0.3301  0.8811  0.6963  8 Er 3.37-3.73, 2 Pm 3.45-3.53
Pm  0.6699  0.1189  0.3037  8 Er 3.37-3.73, 2 Pm 3.45-3.53
Pm  0.8455  0.6804  0.7200  1 Sc 3.25, 8 Er 3.34-3.61, 2 Pm 3.45-3.53
Er  0.0005  0.2557  0.9527  5 Er 3.35-3.53, 1 Sc 3.36, 4 Pm 3.41-3.67
Er  0.9995  0.7443  0.0473  5 Er 3.35-3.53, 1 Sc 3.36, 4 Pm 3.41-3.67
Er  0.1752  0.8103  0.3632  5 Er 3.39-3.71, 5 Pm 3.45-3.73
Er  0.3149  0.3913  0.6214  5 Er 3.28-3.66, 4 Pm 3.34-3.56
Er  0.5000  0.0000  0.0000  2 Sc 3.37, 4 Pm 3.37-3.61, 4 Er 3.53-3.71
Er  0.6851  0.6087  0.3786  5 Er 3.28-3.66, 4 Pm 3.34-3.56
Er  0.8248  0.1897  0.6368  5 Er 3.39-3.71, 5 Pm 3.45-3.73
Sc  0.5000  0.5000  0.0000  2 Pm 3.25, 4 Er 3.36-3.37

Summary:
Formation energy from the elements   9.8 kJ per mole of atoms

***

DFT (GGA-PBE) results for a geometry-optimized AgH4Pd7 structure.

a = 11.6482 Å, b = 4.9851 Å, c = 4.8277 Å
α = 90.00°, β = 90.00°, γ = 90.00°
With the nearest neighbours (Å) after each atom.
Positions (direct):
Ag  0.0000  0.1625  0.0000  12 Pd 2.86-2.92
Ag  0.5000  0.8375  0.5000  12 Pd 2.86-2.92
H  0.1230  0.6585  0.6437  4 Pd 1.80-1.84
H  0.2501  0.1746  0.6350  4 Pd 1.81-1.84
H  0.2499  0.8254  0.1350  4 Pd 1.81-1.84
H  0.3770  0.3415  0.1437  4 Pd 1.80-1.84
H  0.6230  0.3415  0.1437  4 Pd 1.80-1.84
H  0.7499  0.1746  0.6350  4 Pd 1.81-1.84
H  0.7501  0.8254  0.1350  4 Pd 1.81-1.84
H  0.8770  0.6585  0.6437  4 Pd 1.80-1.84
Pd  0.0000  0.8345  0.4984  2 H 1.82
Pd  0.1207  0.3231  0.4972  2 H 1.81-1.82
Pd  0.1205  0.6617  0.0155  2 H 1.80-1.81
Pd  0.2470  0.1750  0.0125  3 H 1.82-1.84
Pd  0.2530  0.8250  0.5125  3 H 1.82-1.84
Pd  0.3795  0.3383  0.5155  2 H 1.80-1.81
Pd  0.3793  0.6769  0.9972  2 H 1.81-1.82
Pd  0.5000  0.1655  0.9984  2 H 1.82
Pd  0.6205  0.3383  0.5155  2 H 1.80-1.81
Pd  0.6207  0.6769  0.9972  2 H 1.81-1.82
Pd  0.7470  0.8250  0.5125  3 H 1.82-1.84
Pd  0.7530  0.1750  0.0125  3 H 1.82-1.84
Pd  0.8793  0.3231  0.4972  2 H 1.81-1.82
Pd  0.8795  0.6617  0.0155  2 H 1.80-1.81

Summary:
VASP energy   -4.46 eV per atom

***

DFT (GGA-PBE) results for a geometry-optimized LaTb3 structure.

a = 5.1069 Å, b = 5.1069 Å, c = 5.1069 Å
α = 90.00°, β = 90.00°, γ = 90.00°
With the nearest neighbours (Å) after each atom.
Positions (direct):
La  0.0000  0.0000  0.0000  12 Tb 3.61
Tb  0.0000  0.5000  0.5000  8 Tb 3.61, 4 La 3.61
Tb  0.5000  0.0000  0.5000  8 Tb 3.61, 4 La 3.61
Tb  0.5000  0.5000  0.0000  8 Tb 3.61, 4 La 3.61

Summary:
Formation energy from the elements   2.6 kJ per mole of atoms

***

DFT (GGA-PBE) results for a geometry-optimized TaHI2 structure.

a = 3.7813 Å, b = 8.2917 Å, c = 8.7007 Å
α = 63.67°, β = 88.51°, γ = 77.06°
With the nearest neighbours (Å) after each atom.
Positions (direct):
Ta  0.0000  0.0000  0.0000  1 H 1.76
Ta  0.3720  0.2584  0.0182  1 H 1.94
H  0.0609  0.8930  0.8624  1 Ta 1.76
H  0.4976  0.9936  0.0916  3 Ta 1.94-2.04
I  0.1508  0.6590  0.2680  1 Ta 2.69
I  0.4184  0.1998  0.7270  3 Ta 2.78-2.89, 3 H 2.84-2.91
I  0.7367  0.5546  0.8442  2 Ta 2.89
I  0.9117  0.1450  0.2880  2 Ta 2.83, 2 H 3.14

Summary:
VASP energy   -4.73 eV per atom

***

DFT (GGA-PBE) results for a geometry-optimized LaTbCe2In4 structure.

a = 9.4955 Å, b = 9.4955 Å, c = 9.4955 Å
α = 33.43°, β = 33.43°, γ = 33.43°
With the nearest neighbours (Å) after each atom.
Positions (direct):
La  0.0000  0.0000  0.0000  8 In 3.37-3.41
Tb  0.5000  0.5000  0.5000  8 In 3.30-3.33
Ce  0.2494  0.2494  0.2494  8 In 3.29-3.43
Ce  0.7506  0.7506  0.7506  8 In 3.29-3.43
In  0.1269  0.1269  0.1269  4 Ce 3.29-3.36, 3 Tb 3.33, 1 La 3.41
In  0.3772  0.3772  0.3772  1 Tb 3.30, 4 Ce 3.33-3.43, 3 La 3.37
In  0.6228  0.6228  0.6228  1 Tb 3.30, 4 Ce 3.33-3.43, 3 La 3.37
In  0.8731  0.8731  0.8731  4 Ce 3.29-3.36, 3 Tb 3.33, 1 La 3.41

Summary:
Formation energy from the elements   -38.3 kJ per mole of atoms

***

DFT (GGA-PBE) results for a geometry-optimized CaPbS3 structure.

a = 5.2001 Å, b = 5.2001 Å, c = 5.2001 Å
α = 90.00°, β = 90.00°, γ = 90.00°
With the nearest neighbours (Å) after each atom.
Positions (direct):
Ca  0.0000  0.0000  0.0000  6 S 2.60
Pb  0.5000  0.5000  0.5000  12 S 3.68
S  0.0000  0.0000  0.5000  2 Ca 2.60
S  0.0000  0.5000  0.0000  2 Ca 2.60
S  0.5000  0.0000  0.0000  2 Ca 2.60

Summary:
Formation energy (no corrections)   -0.2275 eV/atom

***

DFT (GGA-PBE) results for a geometry-optimized TiCo3Sb structure.

a = 4.3381 Å, b = 4.3381 Å, c = 4.3381 Å
α = 90.00°, β = 90.00°, γ = 90.00°
With the nearest neighbours (Å) after each atom.
Positions (direct):
Ti  0.0000  0.0000  0.0000  6 Co 2.17
Co  0.0000  0.0000  0.5000  2 Ti 2.17
Co  0.0000  0.5000  0.0000  2 Ti 2.17
Co  0.5000  0.0000  0.0000  2 Ti 2.17
Sb  0.5000  0.5000  0.5000  12 Co 3.07

Summary:
Energy above the most stable polymorph in this dataset   0 meV/atom
Formation energy (no corrections)   0.8844 eV/atom

***

Number 6 is which compound?
LaTbCe2In4